ZrCu2Os PBE relaxed; uncorrected energy = -6.924 eV per atom; V = 59.8 Å³ per cell; ΔE_f = 0.07 eV/atom; magnetic moment = 0.000 μB per cell; excess energy over the best structure of this formula in the dataset = 0.152 eV/atom; DOS(E_F) = 3.072 states/eV/f.u.
1.0
2.742 0.000 0.000
0.000 3.992 0.000
0.000 0.000 5.465
Zr Cu Os
1 2 1
direct
0.000 0.000 0.000
0.500 0.500 0.275
0.500 0.500 0.725
0.000 0.000 0.500

---

ZrCuOs2 PBE relaxed; uncorrected energy = -8.624 eV per atom; V = 124.4 Å³ per cell; ΔE_f = 0.15 eV/atom; magnetic moment = 0.000 μB per cell; excess energy over the best structure of this formula in the dataset = 0.152 eV/atom; DOS(E_F) = 3.748 states/eV/f.u.
1.0
5.500 0.000 0.000
0.000 9.133 0.000
-1.266 0.000 2.476
Zr Cu Os
2 2 4
direct
0.000 0.000 0.000
0.500 0.500 0.000
0.000 0.500 0.000
0.500 0.000 0.000
0.250 0.250 0.500
0.250 0.750 0.500
0.750 0.250 0.500
0.750 0.750 0.500

---

Zr2CuOs PBE relaxed; uncorrected energy = -8.201 eV per atom; V = 140.8 Å³ per cell; ΔE_f = -0.10 eV/atom; magnetic moment = 0.000 μB per cell; DOS(E_F) = 3.317 states/eV/f.u.
1.0
3.997 0.000 0.000
0.000 3.997 0.000
0.000 0.000 8.817
Zr Cu Os
4 2 2
direct
0.000 0.000 0.000
0.000 0.500 0.250
0.500 0.000 0.750
0.500 0.500 0.500
0.000 0.500 0.750
0.500 0.000 0.250
0.000 0.000 0.500
0.500 0.500 0.000

---

ZrCu2Os PBE relaxed; uncorrected energy = -7.000 eV per atom; V = 121.3 Å³ per cell; ΔE_f = -0.01 eV/atom; magnetic moment = 0.000 μB per cell; excess energy over the best structure of this formula in the dataset = 0.076 eV/atom; DOS(E_F) = 1.707 states/eV/f.u.
1.0
3.931 0.000 0.000
0.000 3.931 0.000
0.000 0.000 7.851
Zr Cu Os
2 4 2
direct
0.000 0.000 0.000
0.500 0.500 0.500
0.000 0.000 0.500
0.000 0.500 0.250
0.500 0.000 0.750
0.500 0.500 0.000
0.000 0.500 0.750
0.500 0.000 0.250